Compound: MnTcBr2
Source: Alexandria via LeMat-Bulk
Functional: meta-GGA SCAN
Structure: PBEsol geometry

Unit cell a=8.981 b=8.981 c=8.981 alpha=20.35 beta=20.35 gamma=20.35
Fractional positions:
Mn (0.000, 0.000, 0.000)
Tc (0.500, 0.500, 0.500)
Br (0.098, 0.098, 0.098)
Br (0.902, 0.902, 0.902)

Properties
**Total energy**: -22.571 eV per atom
**Calculated volume**: 77 Å³/cell
**N(E_F)**: 0.51 states/eV per atom
**Raw formation energy**: 0.49 eV/atom


Compound: CuTeCl
Source: Alexandria via LeMat-Bulk
Functional: meta-GGA SCAN
Structure: PBEsol geometry

Unit cell a=4.644 b=4.644 c=4.644 alpha=60.00 beta=60.00 gamma=60.00
Fractional positions:
Cu (0.000, 0.000, 0.000)
Te (0.750, 0.750, 0.750)
Cl (0.500, 0.500, 0.500)

Properties
**Total energy**: -19.611 eV per atom
**Calculated volume**: 71 Å³/cell
**N(E_F)**: 1.56 states/eV per atom
**Raw formation energy**: 0.53 eV/atom